RbAlSi2O: PBEsol geometry, meta-GGA SCAN. Values from VASP.

```
&SYSTEM
  ibrav = 0, nat = 5, ntyp = 4
/
ATOMIC_SPECIES
Rb 85.47 Rb.upf
Al 26.98 Al.upf
Si 28.09 Si.upf
O 16.00 O.upf
ATOMIC_POSITIONS angstrom
Rb 0.000 0.000 0.000
Al 0.000 0.000 3.693
Si 0.000 2.302 3.693
Si 2.302 0.000 3.693
O 2.302 2.302 0.000
CELL_PARAMETERS angstrom
4.604 0.000 0.000
0.000 4.604 0.000
0.000 0.000 7.387
```

Output
As for the volume: 157 Å³/f.u. The total energy is -51.0 eV for the cell shown.